Record 1
## Zn2CrOs (PBE)

Data for a relaxed Zn2CrOs crystal.

a = 4.306 Å, b = 4.306 Å, c = 4.306 Å
α = 60.00°, β = 60.00°, γ = 60.00°
Last column: magnetic moment on the atom in μB.
Fractional coordinates of all 4 atoms:
Cr: 0.000 0.000 0.000  3.25
Os: 0.500 0.500 0.500  0.19
Zn: 0.750 0.750 0.750  0.03
Zn: 0.250 0.250 0.250  0.03

## Properties
Polymorph energy (0 for the lowest one): 5.62 kcal/mol of atoms
Space group: Fm-3m, No. 225

***

Record 2
## ZnCr2Os (PBE)

Data for a relaxed ZnCr2Os crystal.

a = 2.982 Å, b = 2.982 Å, c = 5.971 Å
α = 90.00°, β = 90.00°, γ = 90.00°
Last column: magnetic moment on the atom in μB.
Fractional coordinates of all 4 atoms:
Os: 0.000 0.000 0.486  0.31
Cr: 0.500 0.500 0.241  -1.12
Zn: 0.500 0.500 0.757  0.02
Cr: 0.000 0.000 0.016  2.39

## Properties
Space group: P4mm, No. 99

***

Record 3
## ZnCr4Os (PBE)

Data for a relaxed ZnCr4Os crystal.

a = 4.735 Å, b = 4.735 Å, c = 4.735 Å
α = 60.00°, β = 60.00°, γ = 60.00°
Fractional coordinates of all 6 atoms:
Cr: 0.880 0.373 0.373
Zn: 0.000 0.000 0.000
Cr: 0.373 0.373 0.880
Cr: 0.373 0.880 0.373
Cr: 0.373 0.373 0.373
Os: 0.750 0.750 0.750

## Properties
Space group: F-43m, No. 216

***

Record 4
## Zn2CrOs (PBE)

Data for a relaxed Zn2CrOs crystal.

a = 8.887 Å, b = 8.887 Å, c = 8.887 Å
α = 17.43°, β = 17.43°, γ = 17.43°
Last column: magnetic moment on the atom in μB.
Fractional coordinates of all 4 atoms:
Cr: 0.250 0.250 0.250  0.59
Zn: 0.501 0.501 0.501  0.00
Zn: 0.999 0.999 0.999  0.00
Os: 0.750 0.750 0.750  0.00

## Properties
Polymorph energy (0 for the lowest one): 5.80 kcal/mol of atoms
Space group: R-3m, No. 166

***

Record 5
## Zn2CrOs (PBE)

Data for a relaxed Zn2CrOs crystal.

a = 4.350 Å, b = 2.596 Å, c = 4.934 Å
α = 79.59°, β = 90.00°, γ = 90.00°
Last column: magnetic moment on the atom in μB.
Fractional coordinates of all 4 atoms:
Zn: 0.000 0.993 0.004  -0.01
Cr: 0.500 0.250 0.250  1.16
Os: 0.500 0.750 0.750  0.04
Zn: 0.000 0.507 0.496  -0.01

## Properties
Polymorph energy (0 for the lowest one): 4.92 kcal/mol of atoms
Space group: P2/m, No. 10

***

Record 6
## ZnCr2Os (PBE)

Data for a relaxed ZnCr2Os crystal.

a = 2.676 Å, b = 2.676 Å, c = 7.319 Å
α = 90.00°, β = 90.00°, γ = 90.00°
Fractional coordinates of all 4 atoms:
Cr: 0.000 0.000 0.006
Os: 0.500 0.500 0.250
Zn: 0.500 0.500 0.750
Cr: 0.000 0.000 0.494

## Properties
Space group: P4/mmm, No. 123

***

Record 7
## ZnCrOs4 (PBE)

Data for a relaxed ZnCrOs4 crystal.

a = 5.130 Å, b = 5.130 Å, c = 5.130 Å
α = 60.00°, β = 60.00°, γ = 60.00°
Last column: magnetic moment on the atom in μB.
Fractional coordinates of all 6 atoms:
Os: 0.625 0.124 0.625  -0.36
Os: 0.124 0.625 0.625  -0.36
Os: 0.625 0.625 0.625  -0.36
Os: 0.625 0.625 0.124  -0.36
Zn: 0.250 0.250 0.250  0.00
Cr: 0.000 0.000 0.000  2.90

## Properties
Space group: F-43m, No. 216

***

Record 8
## Zn2CrOs (PBE)

Data for a relaxed Zn2CrOs crystal.

a = 2.648 Å, b = 2.648 Å, c = 8.816 Å
α = 90.00°, β = 90.00°, γ = 115.36°
Fractional coordinates of all 4 atoms:
Cr: 0.000 0.000 0.505
Zn: 0.500 0.500 0.259
Zn: 0.000 0.000 0.000
Os: 0.500 0.500 0.736

## Properties
Polymorph energy (0 for the lowest one): 3.66 kcal/mol of atoms
Space group: Cmm2, No. 35

***

Record 9
## ZnCr2Os (PBE)

Data for a relaxed ZnCr2Os crystal.

a = 2.577 Å, b = 2.577 Å, c = 8.570 Å
α = 90.00°, β = 90.00°, γ = 111.40°
Fractional coordinates of all 4 atoms:
Os: 0.500 0.500 0.250
Cr: 0.000 0.000 0.495
Cr: 0.000 0.000 0.005
Zn: 0.500 0.500 0.750

## Properties
Space group: Cmmm, No. 65

***

Record 10
## Zn2CrOs (PBE)

Data for a relaxed Zn2CrOs crystal.

a = 9.077 Å, b = 9.077 Å, c = 9.077 Å
α = 17.07°, β = 17.07°, γ = 17.07°
Fractional coordinates of all 4 atoms:
Cr: 0.497 0.497 0.497
Zn: 0.003 0.003 0.003
Os: 0.756 0.756 0.756
Zn: 0.244 0.244 0.244

## Properties
Polymorph energy (0 for the lowest one): 1.18 kcal/mol of atoms
Space group: R3m, No. 160

***

Record 11
## Zn4CrOs (PBE)

Data for a relaxed Zn4CrOs crystal.

a = 4.884 Å, b = 4.884 Å, c = 4.884 Å
α = 60.00°, β = 60.00°, γ = 60.00°
Last column: magnetic moment on the atom in μB.
Fractional coordinates of all 6 atoms:
Cr: 0.750 0.750 0.750  2.82
Zn: 0.876 0.375 0.375  -0.04
Os: 0.000 0.000 0.000  -0.39
Zn: 0.375 0.375 0.375  -0.04
Zn: 0.375 0.876 0.375  -0.04
Zn: 0.375 0.375 0.876  -0.04

## Properties
Space group: F-43m, No. 216

***

Record 12
## ZnCr2Os2 (PBE)

Data for a relaxed ZnCr2Os2 crystal.

a = 7.245 Å, b = 7.245 Å, c = 2.708 Å
α = 90.00°, β = 90.00°, γ = 90.00°
Fractional coordinates of all 10 atoms:
Os: 0.152 0.652 0.500
Zn: 0.500 0.500 0.000
Os: 0.848 0.348 0.500
Cr: 0.363 0.863 0.000
Cr: 0.863 0.637 0.000
Zn: 0.000 0.000 0.000
Cr: 0.637 0.137 0.000
Os: 0.652 0.848 0.500
Os: 0.348 0.152 0.500
Cr: 0.137 0.363 0.000

## Properties
Polymorph energy (0 for the lowest one): 0.94 kcal/mol of atoms
Space group: P4/mbm, No. 127

***

Record 13
## Zn2CrOs (PBE)

Data for a relaxed Zn2CrOs crystal.

a = 4.822 Å, b = 4.822 Å, c = 4.822 Å
α = 141.09°, β = 127.99°, γ = 66.82°
Last column: magnetic moment on the atom in μB.
Fractional coordinates of all 4 atoms:
Cr: 0.491 0.491 0.000  1.35
Zn: 0.998 0.998 0.000  -0.01
Zn: 0.749 0.249 0.500  -0.01
Os: 0.262 0.762 0.500  -0.13

## Properties
Polymorph energy (0 for the lowest one): 4.06 kcal/mol of atoms
Space group: Imm2, No. 44

***

Record 14
## ZrCr4Os (PBE)

Data for a relaxed ZrCr4Os crystal.

a = 4.883 Å, b = 4.883 Å, c = 4.883 Å
α = 60.00°, β = 60.00°, γ = 60.00°
Fractional coordinates of all 6 atoms:
Os: 0.250 0.250 0.250
Cr: 0.122 0.626 0.626
Cr: 0.626 0.626 0.122
Cr: 0.626 0.626 0.626
Cr: 0.626 0.122 0.626
Zr: 0.000 0.000 0.000

## Properties
Space group: F-43m, No. 216

***

Record 15
## Zr2CrOs2 (PBE)

Data for a relaxed Zr2CrOs2 crystal.

a = 3.474 Å, b = 3.474 Å, c = 8.284 Å
α = 77.90°, β = 77.90°, γ = 90.00°
Fractional coordinates of all 5 atoms:
Zr: 0.597 0.597 0.805
Os: 0.750 0.250 0.500
Os: 0.250 0.750 0.500
Zr: 0.403 0.403 0.195
Cr: 0.000 0.000 0.000

## Properties
Polymorph energy (0 for the lowest one): 14.16 kcal/mol of atoms
Space group: I4/mmm, No. 139

***

Record 16
## ZrCrOs (PBE)

Data for a relaxed ZrCrOs crystal.

a = 5.915 Å, b = 5.915 Å, c = 2.964 Å
α = 75.49°, β = 75.49°, γ = 29.02°
Fractional coordinates of all 3 atoms:
Cr: 0.977 0.977 0.023
Os: 0.359 0.359 0.641
Zr: 0.664 0.664 0.336

## Properties
Polymorph energy (0 for the lowest one): 6.27 kcal/mol of atoms
Space group: I4mm, No. 107

***

Record 17
## ZrCr3Os (PBE)

Data for a relaxed ZrCr3Os crystal.

a = 4.572 Å, b = 4.572 Å, c = 4.572 Å
α = 90.00°, β = 90.00°, γ = 90.00°
Last column: magnetic moment on the atom in μB.
Fractional coordinates of all 5 atoms:
Cr: 0.500 0.000 0.000  2.27
Os: 0.000 0.000 0.000  -0.39
Cr: 0.000 0.000 0.500  2.08
Cr: 0.000 0.500 0.000  2.24
Zr: 0.500 0.500 0.500  -0.55

## Properties
Polymorph energy (0 for the lowest one): 0.00 kcal/mol of atoms
Space group: Pm-3m, No. 221

***

Record 18
## ZrCr2Os2 (PBE)

Data for a relaxed ZrCr2Os2 crystal.

a = 7.312 Å, b = 7.312 Å, c = 2.782 Å
α = 90.00°, β = 90.00°, γ = 90.00°
Fractional coordinates of all 10 atoms:
Cr: 0.351 0.851 0.000
Cr: 0.149 0.351 0.000
Os: 0.146 0.646 0.500
Zr: 0.500 0.500 0.000
Os: 0.646 0.854 0.500
Os: 0.354 0.146 0.500
Cr: 0.851 0.649 0.000
Zr: 0.000 0.000 0.000
Cr: 0.649 0.149 0.000
Os: 0.854 0.354 0.500

## Properties
Polymorph energy (0 for the lowest one): 0.00 kcal/mol of atoms
Space group: P4/mbm, No. 127

***

Record 19
## ZrCr2Os2 (PBE)

Data for a relaxed ZrCr2Os2 crystal.

a = 4.029 Å, b = 4.029 Å, c = 5.830 Å
α = 69.78°, β = 69.78°, γ = 90.00°
Fractional coordinates of all 5 atoms:
Cr: 0.250 0.750 0.500
Cr: 0.750 0.250 0.500
Os: 0.623 0.623 0.754
Os: 0.377 0.377 0.246
Zr: 0.000 0.000 0.000

## Properties
Polymorph energy (0 for the lowest one): 0.13 kcal/mol of atoms
Space group: I4/mmm, No. 139

***

Record 20
## ZrCrOs (PBE)

Data for a relaxed ZrCrOs crystal.

a = 5.138 Å, b = 5.138 Å, c = 5.138 Å
α = 90.95°, β = 116.26°, γ = 122.75°
Fractional coordinates of all 6 atoms:
Os: 0.500 0.500 0.500
Cr: 0.500 0.000 0.500
Os: 0.000 0.500 0.000
Cr: 0.000 0.500 0.500
Zr: 0.250 0.122 0.872
Zr: 0.750 0.878 0.128

## Properties
Polymorph energy (0 for the lowest one): 0.00 kcal/mol of atoms
Space group: Imma, No. 74

***

no.,ΔE_f (eV/atom),E_tot (eV per atom)
1,0.295,-5.555
2,0.153,-7.785
3,0.145,-8.355
4,0.303,-5.547
5,0.265,-5.585
6,0.181,-7.757
7,0.680,-8.623
8,0.211,-5.640
9,0.308,-7.629
10,0.103,-5.747
11,0.192,-4.133
12,0.277,-8.319
13,0.228,-5.623
14,0.039,-9.673
15,0.510,-9.326
16,-0.037,-9.838
17,1.088,-8.642
18,0.040,-10.011
19,0.046,-10.005
20,-0.309,-10.110